[1]
This record from Alexandria describes crystalline KYH8N4 at its relaxed geometry. The functional is PBE-GGA.

Values from the calculation:
**E**: -5.41 eV per atom
**Crystal system**: monoclinic

abc: 9.194 9.194 5.998
angles: 78.43 78.43 132.87
Sites, in units of the cell vectors:
K  0.697  0.303  0.250
K  0.303  0.697  0.750
Y  0.065  0.935  0.750
Y  0.935  0.065  0.250
H  0.663  0.617  0.289
H  0.787  0.496  0.743
H  0.871  0.703  0.343
H  0.383  0.337  0.211
H  0.960  0.345  0.466
H  0.655  0.040  0.034
H  0.297  0.129  0.157
H  0.496  0.787  0.243
H  0.504  0.213  0.757
H  0.703  0.871  0.843
H  0.345  0.960  0.966
H  0.040  0.655  0.534
H  0.617  0.663  0.789
H  0.129  0.297  0.657
H  0.213  0.504  0.257
H  0.337  0.383  0.711
N  0.951  0.625  0.707
N  0.835  0.745  0.209
N  0.625  0.951  0.207
N  0.255  0.165  0.291
N  0.745  0.835  0.709
N  0.375  0.049  0.793
N  0.165  0.255  0.791
N  0.049  0.375  0.293

---

[2]
This record from Alexandria describes crystalline RbNa2Bi at its relaxed geometry. The functional is PBE-GGA.

Values from the calculation:
**E**: -2.03 eV per atom
**ΔE_f**: -155 meV/atom
**Crystal system**: tetragonal

abc: 5.962 5.962 11.337
angles: 74.75 74.75 90.00
Sites, in units of the cell vectors:
Na  0.775  0.125  0.250
Na  0.975  0.625  0.250
Na  0.375  0.225  0.750
Na  0.875  0.025  0.750
Bi  0.000  0.000  0.000
Bi  0.750  0.250  0.500
Rb  0.500  0.500  0.000
Rb  0.250  0.750  0.500